Computed, not measured: an optimized crystal structure of YNi2As at the GGA-PBE level of DFT.

- Symmetry: R3m, No. 160

Cell: 4.032 4.032 5.338 Å, 67.82 67.82 59.97°
Sites, in units of the cell vectors:
As1 0.294 0.294 0.116
Ni1 0.707 0.707 0.880
Ni2 0.001 0.001 0.998
Y1 0.498 0.498 0.505



Computed, not measured: an optimized crystal structure of YNiAs2 at the GGA-PBE level of DFT.

- Symmetry: Cmmm, No. 65

Cell: 3.555 3.555 6.574 Å, 90.00 90.00 111.81°
Sites, in units of the cell vectors:
As1 0.000 0.000 0.047
As2 0.000 0.000 0.453
Ni1 0.500 0.500 0.250
Y1 0.500 0.500 0.750



Computed, not measured: an optimized crystal structure of YNiAs2 at the GGA-PBE level of DFT.

- Symmetry: P4/mmm, No. 123

Cell: 3.362 3.362 6.414 Å, 90.00 90.00 90.00°
Sites, in units of the cell vectors:
As1 0.000 0.000 0.051
As2 0.000 0.000 0.449
Y1 0.500 0.500 0.750
Ni1 0.500 0.500 0.250



Computed, not measured: an optimized crystal structure of YNiAs at the GGA-PBE level of DFT.

- Symmetry: P-6m2, No. 187

Cell: 3.915 4.052 4.052 Å, 60.00 90.00 90.00°
Sites, in units of the cell vectors:
As1 0.500 0.667 0.667
Ni1 0.500 0.333 0.333
Y1 0.000 0.000 0.000



Computed, not measured: an optimized crystal structure of YNi3As3 at the GGA-PBE level of DFT.

- Symmetry: Pm-3n, No. 223

Cell: 6.406 6.406 6.406 Å, 90.00 90.00 90.00°
Sites, in units of the cell vectors:
As1 0.000 0.750 0.500
As2 0.500 0.000 0.750
As3 0.500 0.000 0.250
As4 0.250 0.500 0.000
As5 0.750 0.500 0.000
As6 0.000 0.250 0.500
Y1 0.000 0.000 0.000
Y2 0.500 0.500 0.500
Ni1 0.000 0.500 0.750
Ni2 0.750 0.000 0.500
Ni3 0.500 0.250 0.000
Ni4 0.250 0.000 0.500
Ni5 0.500 0.750 0.000
Ni6 0.000 0.500 0.250



Computed, not measured: an optimized crystal structure of YNiAs2 at the GGA-PBE level of DFT.

- Symmetry: I-4m2, No. 119

Cell: 5.453 5.453 5.453 Å, 137.33 137.33 61.93°
Sites, in units of the cell vectors:
As1 0.000 0.000 0.000
As2 0.250 0.750 0.500
Y1 0.750 0.250 0.500
Ni1 0.500 0.500 0.000



Computed, not measured: an optimized crystal structure of YNi2As at the GGA-PBE level of DFT.

- Symmetry: Cmmm, No. 65

Cell: 3.399 3.399 5.740 Å, 90.00 90.00 89.90°
Sites, in units of the cell vectors:
As1 0.500 0.500 0.750
Y1 0.500 0.500 0.250
Ni1 0.000 0.000 0.967
Ni2 0.000 0.000 0.533



Computed, not measured: an optimized crystal structure of YNiAs2 at the GGA-PBE level of DFT.

- Symmetry: C2/m, No. 12

Cell: 3.969 3.969 5.994 Å, 70.97 70.97 59.86°
Sites, in units of the cell vectors:
As1 0.519 0.519 0.440
As2 0.981 0.981 0.060
Y1 0.750 0.750 0.750
Ni1 0.250 0.250 0.250



Computed, not measured: an optimized crystal structure of YNiAs2 at the GGA-PBE level of DFT.

- Symmetry: P4/mmm, No. 123

Cell: 4.381 4.379 3.802 Å, 90.00 90.00 90.00°
Sites, in units of the cell vectors:
Y1 0.000 0.500 0.500
As1 0.000 0.000 0.000
As2 0.500 0.500 0.000
Ni1 0.500 0.000 0.500



Computed, not measured: an optimized crystal structure of YNiAs2 at the GGA-PBE level of DFT.

- Symmetry: P4mm, No. 99

Cell: 3.199 3.199 8.335 Å, 90.00 90.00 90.00°
Sites, in units of the cell vectors:
As1 0.000 0.000 0.954
As2 0.500 0.500 0.354
Ni1 0.000 0.000 0.468
Y1 0.500 0.500 0.725



Computed, not measured: an optimized crystal structure of YNiAs2 at the GGA-PBE level of DFT.

- Symmetry: I-42d, No. 122

Cell: 4.713 4.713 8.441 Å, 73.79 73.79 90.00°
Sites, in units of the cell vectors:
Ni1 0.250 0.750 0.500
Ni2 0.500 0.500 0.000
As1 0.375 0.501 0.750
As2 0.499 0.125 0.250
As3 0.251 0.625 0.250
As4 0.875 0.749 0.750
Y1 0.000 0.000 0.000
Y2 0.750 0.250 0.500



Computed, not measured: an optimized crystal structure of YNi4As2 at the GGA-PBE level of DFT.

- Symmetry: R-3m, No. 166
- E above lowest polymorph: 68.6 meV per atom

Cell: 4.018 4.018 7.667 Å, 74.81 74.81 60.00°
Sites, in units of the cell vectors:
Ni1 0.858 0.858 0.427
Ni2 0.563 0.563 0.310
Ni3 0.437 0.437 0.690
Ni4 0.142 0.142 0.573
Y1 0.000 0.000 0.000
As1 0.250 0.250 0.250
As2 0.750 0.750 0.750



Respective DOS at the Fermi energy values: 4.49 2.28 3.61 1.54 9.48 2.82 3.64 2.59 2.34 1.01 4.40 4.72 states/eV per cell.
Respective E values: -6.272 -5.875 -5.679 -6.693 -5.715 -5.844 -5.938 -6.014 -5.882 -5.702 -5.888 -6.120 eV/atom.
Respective size of the total moment values: 0.001 0.000 0.001 0.000 0.000 0.000 0.000 0.000 0.000 0.000 0.000 0.000 Bohr magnetons per cell.